{
  "formula": "Rb3VO",
  "functional": "PBE with a Hubbard U",
  "state": "optimized geometry",
  "dos_at_fermi_per_ev_atom": 2.28,
  "volume_a3_per_atom": 38.81,
  "space_group": "No. 221",
  "energy_ev_per_atom": -2.796,
  "cell": [[5.790, 0.000, 0.000], [0.000, 5.790, 0.000], [0.000, 0.000, 5.790]],
  "species": ["Rb", "Rb", "Rb", "O", "V"],
  "frac_coords": [[0.000, 0.500, 0.000], [0.000, 0.000, 0.500], [0.500, 0.000, 0.000], [0.000, 0.000, 0.000], [0.500, 0.500, 0.500]]
}